Below is a relaxed structure of PrEuAs, with properties calculated at the PBE level.

```
data_PrEuAs
_cell_length_a 7.1663
_cell_length_b 7.1663
_cell_length_c 7.1663
_cell_angle_alpha 90.00
_cell_angle_beta 90.00
_cell_angle_gamma 90.00
_space_group_name_H-M_alt 'F -4 3 m'
_space_group_IT_number 216
_space_group_name_Hall 'F -4 2 3'
loop_
_atom_site_label
_atom_site_fract_x
_atom_site_fract_y
_atom_site_fract_z
_atom_site_occupancy
Pr1 0.0000 0.0000 0.0000 1
Eu1 0.0000 0.0000 0.5000 1
As1 0.2500 0.2500 0.2500 1
```

Summary:
Polymorph energy (0 for the lowest one) ... 4 meV per atom

---

Below is a relaxed structure of Pr2EuAs, with properties calculated at the PBE level.

```
data_Pr2EuAs
_cell_length_a 4.1032
_cell_length_b 4.1032
_cell_length_c 29.9829
_cell_angle_alpha 90.00
_cell_angle_beta 90.00
_cell_angle_gamma 120.00
_space_group_name_H-M_alt 'R -3 m'
_space_group_IT_number 166
_space_group_name_Hall '-R 3 2"'
loop_
_atom_site_label
_atom_site_fract_x
_atom_site_fract_y
_atom_site_fract_z
_atom_site_occupancy
Pr1 0.0000 0.0000 0.2251 1
Eu1 0.0000 0.0000 0.0000 1
As1 0.0000 0.0000 0.5000 1
```

---

Below is a relaxed structure of PrEuAs, with properties calculated at the PBE level.

```
data_PrEuAs
_cell_length_a 3.9312
_cell_length_b 3.9312
_cell_length_c 11.5113
_cell_angle_alpha 90.00
_cell_angle_beta 90.00
_cell_angle_gamma 90.00
_space_group_name_H-M_alt 'I 4 m m'
_space_group_IT_number 107
_space_group_name_Hall 'I 4 -2'
loop_
_atom_site_label
_atom_site_fract_x
_atom_site_fract_y
_atom_site_fract_z
_atom_site_occupancy
Pr1 0.0000 0.0000 0.0000 1
Eu1 0.0000 0.0000 0.7227 1
As1 0.0000 0.0000 0.3772 1
```

Summary:
Polymorph energy (0 for the lowest one) ... 107 meV per atom

---

Below is a relaxed structure of PrEuAs, with properties calculated at the PBE level.

```
data_PrEuAs
_cell_length_a 4.2256
_cell_length_b 4.2256
_cell_length_c 6.9457
_cell_angle_alpha 90.00
_cell_angle_beta 90.00
_cell_angle_gamma 120.00
_space_group_name_H-M_alt 'P 3 m 1'
_space_group_IT_number 156
loop_
_space_group_symop_operation_xyz
'x,y,z'
'-y,x-y,z'
'-x+y,-x,z'
'-y,-x,z'
'-x+y,y,z'
'x,x-y,z'
loop_
_atom_site_label
_atom_site_fract_x
_atom_site_fract_y
_atom_site_fract_z
_atom_site_occupancy
Pr1 0.0000 0.0000 0.0000 1
Eu1 0.3333 0.6667 0.5069 1
As1 0.6667 0.3333 0.7663 1
```

Summary:
Polymorph energy (0 for the lowest one) ... 0 meV per atom

---

Below is a relaxed structure of EuAs2Pt, with properties calculated at the PBE level.

```
data_EuAs2Pt
_cell_length_a 4.0990
_cell_length_b 4.0990
_cell_length_c 17.5316
_cell_angle_alpha 90.00
_cell_angle_beta 90.00
_cell_angle_gamma 120.00
_space_group_name_H-M_alt 'R -3 m'
_space_group_IT_number 166
_space_group_name_Hall '-R 3 2"'
loop_
_atom_site_label
_atom_site_fract_x
_atom_site_fract_y
_atom_site_fract_z
_atom_site_occupancy
Eu1 0.0000 0.0000 0.0000 1
As1 0.0000 0.0000 0.2289 1
Pt1 0.0000 0.0000 0.5000 1
```

---

Below is a relaxed structure of Eu2AsPt, with properties calculated at the PBE level.

```
data_Eu2AsPt
_cell_length_a 5.1498
_cell_length_b 5.1498
_cell_length_c 3.6402
_cell_angle_alpha 90.00
_cell_angle_beta 90.00
_cell_angle_gamma 90.00
_space_group_name_H-M_alt 'P 4/m m m'
_space_group_IT_number 123
_space_group_name_Hall '-P 4 2'
loop_
_atom_site_label
_atom_site_fract_x
_atom_site_fract_y
_atom_site_fract_z
_atom_site_occupancy
Eu1 0.0000 0.5000 0.0000 1
As1 0.0000 0.0000 0.5000 1
Pt1 0.5000 0.5000 0.5000 1
```

---

Below is a relaxed structure of EuAsPt, with properties calculated at the PBE level.

```
data_EuAsPt
_cell_length_a 4.2340
_cell_length_b 4.2340
_cell_length_c 15.1214
_cell_angle_alpha 90.00
_cell_angle_beta 90.00
_cell_angle_gamma 90.00
_space_group_name_H-M_alt 'I 41 m d'
_space_group_IT_number 109
_space_group_name_Hall 'I 4bw -2'
loop_
_atom_site_label
_atom_site_fract_x
_atom_site_fract_y
_atom_site_fract_z
_atom_site_occupancy
Eu1 0.0000 0.0000 0.0000 1
As1 0.0000 0.0000 0.5814 1
Pt1 0.0000 0.0000 0.4169 1
```

---

Below is a relaxed structure of EuAs2Pt2, with properties calculated at the PBE level.

```
data_EuAs2Pt2
_cell_length_a 4.5047
_cell_length_b 4.5047
_cell_length_c 9.8591
_cell_angle_alpha 90.00
_cell_angle_beta 90.00
_cell_angle_gamma 90.00
_space_group_name_H-M_alt 'P 4/n m m'
_space_group_IT_number 129
loop_
_space_group_symop_operation_xyz
'x,y,z'
'-x,-y,-z'
'-y+1/2,x,z'
'y+1/2,-x,-z'
'-x+1/2,-y+1/2,z'
'x+1/2,y+1/2,-z'
'y,-x+1/2,z'
'-y,x+1/2,-z'
'x+1/2,-y,-z'
'-x+1/2,y,z'
'-y,-x,-z'
'y,x,z'
'-x,y+1/2,-z'
'x,-y+1/2,z'
'y+1/2,x+1/2,-z'
'-y+1/2,-x+1/2,z'
loop_
_atom_site_label
_atom_site_fract_x
_atom_site_fract_y
_atom_site_fract_z
_atom_site_occupancy
Eu1 0.2500 0.2500 0.2487 1
As1 0.2500 0.2500 0.6300 1
As2 0.2500 0.7500 0.0000 1
Pt1 0.2500 0.2500 0.8809 1
Pt2 0.2500 0.7500 0.5000 1
```

---

Below is a relaxed structure of EuPuAs2, with properties calculated at the PBE level.

```
data_EuPuAs2
_cell_length_a 3.5966
_cell_length_b 3.5966
_cell_length_c 7.3520
_cell_angle_alpha 90.00
_cell_angle_beta 90.00
_cell_angle_gamma 90.00
_space_group_name_H-M_alt 'P 4/m m m'
_space_group_IT_number 123
_space_group_name_Hall '-P 4 2'
loop_
_atom_site_label
_atom_site_fract_x
_atom_site_fract_y
_atom_site_fract_z
_atom_site_occupancy
Eu1 0.0000 0.0000 0.0000 1
Pu1 0.0000 0.0000 0.5000 1
As1 0.5000 0.5000 0.2617 1
```

Summary:
Polymorph energy (0 for the lowest one) ... 209 meV per atom

---

Below is a relaxed structure of EuPuAs, with properties calculated at the PBE level.

```
data_EuPuAs
_cell_length_a 3.7274
_cell_length_b 3.7274
_cell_length_c 12.3393
_cell_angle_alpha 90.00
_cell_angle_beta 90.00
_cell_angle_gamma 90.00
_space_group_name_H-M_alt 'I 4 m m'
_space_group_IT_number 107
_space_group_name_Hall 'I 4 -2'
loop_
_atom_site_label
_atom_site_fract_x
_atom_site_fract_y
_atom_site_fract_z
_atom_site_occupancy
Eu1 0.0000 0.0000 0.0000 1
Pu1 0.0000 0.0000 0.2560 1
As1 0.0000 0.0000 0.6430 1
```

Summary:
Polymorph energy (0 for the lowest one) ... 80 meV per atom

---

Below is a relaxed structure of EuPuAs, with properties calculated at the PBE level.

```
data_EuPuAs
_cell_length_a 4.8031
_cell_length_b 4.8031
_cell_length_c 4.2801
_cell_angle_alpha 90.00
_cell_angle_beta 90.00
_cell_angle_gamma 120.00
_space_group_name_H-M_alt 'P 3 m 1'
_space_group_IT_number 156
loop_
_space_group_symop_operation_xyz
'x,y,z'
'-y,x-y,z'
'-x+y,-x,z'
'-y,-x,z'
'-x+y,y,z'
'x,x-y,z'
loop_
_atom_site_label
_atom_site_fract_x
_atom_site_fract_y
_atom_site_fract_z
_atom_site_occupancy
Eu1 0.0000 0.0000 0.0000 1
Pu1 0.6667 0.3333 0.4680 1
As1 0.3333 0.6667 0.6484 1
```

Summary:
Polymorph energy (0 for the lowest one) ... 118 meV per atom

---

Below is a relaxed structure of EuPuAs, with properties calculated at the PBE level.

```
data_EuPuAs
_cell_length_a 7.0838
_cell_length_b 7.0838
_cell_length_c 7.0838
_cell_angle_alpha 90.00
_cell_angle_beta 90.00
_cell_angle_gamma 90.00
_space_group_name_H-M_alt 'F -4 3 m'
_space_group_IT_number 216
_space_group_name_Hall 'F -4 2 3'
loop_
_atom_site_label
_atom_site_fract_x
_atom_site_fract_y
_atom_site_fract_z
_atom_site_occupancy
Eu1 0.0000 0.0000 0.0000 1
Pu1 0.0000 0.0000 0.5000 1
As1 0.2500 0.2500 0.7500 1
```

Summary:
Polymorph energy (0 for the lowest one) ... 0 meV per atom

---

DFT formation energy / eV per atom: -0.83; -0.63; -0.72; -0.83; -0.80; -0.95; -1.10; -0.81; -0.88; -0.53; -0.49; -0.61
Final energy / eV/atom: -7.39; -6.75; -7.29; -7.40; -7.20; -8.75; -8.09; -7.14; -9.35; -10.28; -10.24; -10.36